Entry 1:
The following is a DFT calculation (PBE-GGA) of an optimized crystal structure of KMgOF2.

a = 4.5580 Å, b = 4.5580 Å, c = 4.2625 Å
α = 90.00°, β = 90.00°, γ = 90.00°
Closest atoms and distances in Å follow each position.
Space group P4/mmm (No. 123)
Unique sites:
K (0.0000, 0.0000, 0.0000) x1  2 O 2.13, 4 F 2.28
Mg (0.5000, 0.5000, 0.5000) x1  8 F 3.12, 4 O 3.22
O (0.0000, 0.0000, 0.5000) x1  2 K 2.13
F (0.0000, 0.5000, 0.0000) x2  2 K 2.28

As for the crystal system: tetragonal. As for the total energy: -16.3 eV/cell. As for the formation energy (no corrections): -981 meV/atom. Its energy above the most stable polymorph in this dataset is 34.08 kcal/mol of atoms.

---

Entry 2:
The following is a DFT calculation (PBE-GGA) of an optimized crystal structure of KMgOF2.

a = 4.0774 Å, b = 4.0774 Å, c = 4.1391 Å
α = 90.00°, β = 90.00°, γ = 90.00°
Closest atoms and distances in Å follow each position.
Space group P4/mmm (No. 123)
Unique sites:
K (0.0000, 0.0000, 0.0000) x1  4 O 2.88, 8 F 2.91
Mg (0.5000, 0.5000, 0.5000) x1  4 F 2.04, 2 O 2.07
O (0.5000, 0.5000, 0.0000) x1  2 Mg 2.07
F (0.0000, 0.5000, 0.5000) x2  2 Mg 2.04

As for the crystal system: tetragonal. As for the total energy: -23.7 eV/cell. As for the formation energy (no corrections): -2459 meV/atom. Its energy above the most stable polymorph in this dataset is 0.00 kcal/mol of atoms.

---

Entry 3:
The following is a DFT calculation (PBE-GGA) of an optimized crystal structure of K2Mg3PaF12.

a = 7.4438 Å, b = 7.4438 Å, c = 16.5987 Å
α = 90.00°, β = 90.00°, γ = 120.00°
Closest atoms and distances in Å follow each position.
Space group R-3m (No. 166, hexagonal axes)
Unique sites:
K (0.0000, 0.0000, 0.1111) x6  3 F 2.67
Mg (0.0000, 0.5000, 0.0000) x9  6 F 1.96-2.03
Pa (0.0000, 0.0000, 0.5000) x3  6 F 2.32
F (0.0087, 0.5043, 0.8776) x18  1 Mg 2.03
F (0.0866, 0.5433, 0.3119) x18  2 Mg 1.96

As for the crystal system: trigonal. As for the total energy: -302.3 eV/cell. As for the formation energy (no corrections): -3436 meV/atom.

---

Entry 4:
The following is a DFT calculation (PBE-GGA) of an optimized crystal structure of KMgPbF5.

a = 7.3542 Å, b = 10.3656 Å, c = 8.0844 Å
α = 90.00°, β = 111.95°, γ = 90.00°
Closest atoms and distances in Å follow each position.
Space group C2/c (No. 15)
Unique sites:
K (0.0000, 0.1500, 0.2500) x4  4 F 2.63-2.72
Mg (0.0000, 0.5000, 0.0000) x4  6 F 2.01-2.05
Pb (0.0000, 0.2243, 0.7500) x4  5 F 2.34-2.61
F (0.0000, 0.4765, 0.7500) x4  2 Mg 2.04
F (0.0843, 0.3148, 0.5163) x8  1 Mg 2.01
F (0.2149, 0.0612, 0.9078) x8  1 Mg 2.05

As for the crystal system: monoclinic. As for the total energy: -154.3 eV/cell. As for the formation energy (no corrections): -2854 meV/atom.

---

Entry 5:
The following is a DFT calculation (PBE-GGA) of an optimized crystal structure of K3Mg2PbF9.

a = 5.9520 Å, b = 5.9520 Å, c = 7.8204 Å
α = 90.00°, β = 90.00°, γ = 120.00°
Closest atoms and distances in Å follow each position.
Space group P-3m1 (No. 164)
Unique sites:
K (0.0000, 0.0000, 0.0000) x1  12 F 2.94-2.98
K (0.3333, 0.6667, 0.7123) x2  9 F 2.83-2.98
Mg (0.3333, 0.6667, 0.1478) x2  6 F 1.99-2.07
Pb (0.0000, 0.0000, 0.5000) x1  6 F 2.42
F (0.0000, 0.5000, 0.0000) x3  2 Mg 2.07
F (0.1760, 0.3520, 0.2951) x6  1 Mg 1.99

As for the crystal system: trigonal. As for the total energy: -72.1 eV/cell. As for the formation energy (no corrections): -3007 meV/atom.

---

Entry 6:
The following is a DFT calculation (PBE-GGA) of an optimized crystal structure of K2MgPd3F12.

a = 7.8908 Å, b = 7.8908 Å, c = 17.7410 Å
α = 90.00°, β = 90.00°, γ = 120.00°
Closest atoms and distances in Å follow each position.
Space group R-3m (No. 166, hexagonal axes)
Unique sites:
K (0.0000, 0.0000, 0.1725) x6  6 F 2.86-2.96
Mg (0.0000, 0.0000, 0.5000) x3  6 F 2.02
Pd (0.0000, 0.5000, 0.0000) x9  6 F 2.01-2.11
F (0.0787, 0.5393, 0.1093) x18  1 Pd 2.01, 1 Mg 2.02
F (0.0899, 0.5449, 0.3628) x18  2 Pd 2.11

As for the crystal system: trigonal. As for the total energy: -233.0 eV/cell. As for the formation energy (no corrections): -1991 meV/atom.

---

Entry 7:
The following is a DFT calculation (PBE-GGA) of an optimized crystal structure of K3Mg2PdF9.

a = 5.8522 Å, b = 5.8522 Å, c = 7.2160 Å
α = 90.00°, β = 90.00°, γ = 120.00°
Closest atoms and distances in Å follow each position.
Space group P-3m1 (No. 164)
Unique sites:
K (0.0000, 0.0000, 0.0000) x1  12 F 2.91-2.93
K (0.3333, 0.6667, 0.6604) x2  12 F 2.93-2.98
Mg (0.3333, 0.6667, 0.1532) x2  6 F 2.01-2.02
Pd (0.0000, 0.0000, 0.5000) x1  6 F 2.19
F (0.0000, 0.5000, 0.0000) x3  2 Mg 2.02
F (0.1740, 0.3479, 0.3200) x6  1 Mg 2.01, 1 Pd 2.19

As for the crystal system: trigonal. As for the total energy: -70.5 eV/cell. As for the formation energy (no corrections): -2796 meV/atom.

---

Entry 8:
The following is a DFT calculation (PBE-GGA) of an optimized crystal structure of K2MgPdF6.

a = 8.3990 Å, b = 8.3990 Å, c = 8.3990 Å
α = 90.00°, β = 90.00°, γ = 90.00°
Closest atoms and distances in Å follow each position.
Space group Fm-3m (No. 225)
Unique sites:
K (0.2500, 0.2500, 0.2500) x8  12 F 2.97
Mg (0.0000, 0.0000, 0.0000) x4  6 F 2.01
Pd (0.0000, 0.0000, 0.5000) x4  6 F 2.19
F (0.0000, 0.0000, 0.2387) x24  1 Mg 2.01, 1 Pd 2.19

As for the crystal system: cubic. As for the total energy: -182.7 eV/cell. As for the formation energy (no corrections): -2546 meV/atom.

---

Entry 9:
The following is a DFT calculation (PBE-GGA) of an optimized crystal structure of KMgPdF6.

a = 7.2003 Å, b = 8.0027 Å, c = 10.2381 Å
α = 90.00°, β = 90.00°, γ = 90.00°
Closest atoms and distances in Å follow each position.
Space group Imma (No. 74)
Unique sites:
K (0.0000, 0.2500, 0.0892) x4  1 F 2.77
Mg (0.2500, 0.2500, 0.7500) x4  6 F 1.93-2.04
Pd (0.0000, 0.0000, 0.5000) x4  6 F 1.99-2.15
F (0.0000, 0.2500, 0.4220) x4  2 Pd 2.15
F (0.0000, 0.2500, 0.8185) x4  2 Mg 1.93
F (0.2050, 0.0607, 0.6211) x16  1 Pd 1.99, 1 Mg 2.04

As for the crystal system: orthorhombic. As for the total energy: -162.4 eV/cell. As for the formation energy (no corrections): -2388 meV/atom.

---

Entry 10:
The following is a DFT calculation (PBE-GGA) of an optimized crystal structure of KMg2PdF8.

a = 5.0513 Å, b = 6.5816 Å, c = 5.0697 Å
α = 90.00°, β = 92.58°, γ = 90.00°
Closest atoms and distances in Å follow each position.
Space group P2/m (No. 10)
Unique sites:
K (0.0000, 0.0000, 0.0000) x1  6 F 2.45-2.47
Mg (0.5000, 0.2516, 0.5000) x2  6 F 2.04-2.12
Pd (0.0000, 0.5000, 0.0000) x1  4 F 1.99
F (0.2191, 0.2966, 0.2030) x4  1 Pd 1.99, 1 Mg 2.04
F (0.3083, 0.5000, 0.6789) x2  2 Mg 2.12, 1 Pd 2.30
F (0.3290, 0.0000, 0.6538) x2  2 Mg 2.04

As for the crystal system: monoclinic. As for the total energy: -55.4 eV/cell. As for the formation energy (no corrections): -2579 meV/atom.

---

Entry 11:
The following is a DFT calculation (PBE-GGA) of an optimized crystal structure of KPmMgF6.

a = 7.2411 Å, b = 7.7278 Å, c = 10.2087 Å
α = 90.00°, β = 90.00°, γ = 90.00°
Closest atoms and distances in Å follow each position.
Space group Imma (No. 74)
Unique sites:
K (0.0000, 0.2500, 0.0814) x4  9 F 2.94-3.04
Pm (0.0000, 0.0000, 0.5000) x4  6 F 2.29-2.37
Mg (0.2500, 0.2500, 0.7500) x4  6 F 2.00
F (0.0000, 0.2500, 0.3792) x4  2 Pm 2.29
F (0.0000, 0.2500, 0.6665) x4  2 Mg 2.00
F (0.2250, 0.0627, 0.8837) x16  1 Mg 2.00

As for the crystal system: orthorhombic. As for the total energy: -203.7 eV/cell. As for the formation energy (no corrections): -3582 meV/atom.

---

Entry 12:
The following is a DFT calculation (PBE-GGA) of an optimized crystal structure of KPrMgF6.

a = 7.3095 Å, b = 7.8519 Å, c = 10.1988 Å
α = 90.00°, β = 90.00°, γ = 90.00°
Closest atoms and distances in Å follow each position.
Space group Imma (No. 74)
Unique sites:
K (0.0000, 0.2500, 0.0776) x4  9 F 2.94-3.03
Pr (0.0000, 0.0000, 0.5000) x4  8 F 2.34-2.60
Mg (0.2500, 0.2500, 0.7500) x4  6 F 1.99-2.01
F (0.0000, 0.2500, 0.3751) x4  2 Pr 2.34
F (0.0000, 0.2500, 0.6678) x4  2 Mg 2.01
F (0.2224, 0.0666, 0.8838) x16  1 Mg 1.99

As for the crystal system: orthorhombic. As for the total energy: -203.3 eV/cell. As for the formation energy (no corrections): -3568 meV/atom.

---

Q: Number 9 is which compound?
A: KMgPdF6

---

Q: Which value of formation energy (no corrections) does entry 4 give?
A: -2854 meV/atom

---

Q: The lowest formation energy (no corrections) belongs to which entry?
A: KPmMgF6